Entry 1:
! PBE-GGA MgNpHgGe, relaxed; values from VASP
! - symmetry = F-43m, No. 216
! - VASP energy (eV for the cell shown) = -19.60
! - calculated formation energy (eV per atom) = -0.04
! - mass density (g/cm3) = 9.903
&SYSTEM
  ibrav = 0, nat = 4, ntyp = 4
/
ATOMIC_SPECIES
Np 237.00 Np.upf
Ge 72.64 Ge.upf
Mg 24.30 Mg.upf
Hg 200.59 Hg.upf
ATOMIC_POSITIONS angstrom
Np 0.0000 0.0000 0.0000
Ge -0.2788 2.2171 2.1140
Mg -0.5577 4.4342 4.2281
Hg -0.8365 6.6513 6.3421
CELL_PARAMETERS angstrom
-0.6405 4.9311 0.7120
-2.7279 1.6433 3.8848
2.2530 2.2939 3.8594



Entry 2:
! PBE-GGA MgPaHgGe, relaxed; values from VASP
! - symmetry = F-43m, No. 216
! - VASP energy (eV for the cell shown) = -16.53
! - calculated formation energy (eV per atom) = -0.13
! - mass density (g/cm3) = 9.850
&SYSTEM
  ibrav = 0, nat = 4, ntyp = 4
/
ATOMIC_SPECIES
Mg 24.30 Mg.upf
Ge 72.64 Ge.upf
Pa 231.04 Pa.upf
Hg 200.59 Hg.upf
ATOMIC_POSITIONS angstrom
Mg 0.0000 0.0000 0.0000
Ge 2.5068 1.4473 1.0234
Pa 5.0136 2.8946 2.0468
Hg 7.5204 4.3419 3.0702
CELL_PARAMETERS angstrom
5.0136 0.0000 0.0000
2.5068 4.3419 0.0000
2.5068 1.4473 4.0936



Entry 3:
! PBE-GGA PmMgHgGe, relaxed; values from VASP
! - symmetry = F-43m, No. 216
! - VASP energy (eV for the cell shown) = -12.86
! - calculated formation energy (eV per atom) = -0.40
! - mass density (g/cm3) = 7.871
&SYSTEM
  ibrav = 0, nat = 4, ntyp = 4
/
ATOMIC_SPECIES
Mg 24.30 Mg.upf
Ge 72.64 Ge.upf
Hg 200.59 Hg.upf
Pm 145.00 Pm.upf
ATOMIC_POSITIONS angstrom
Mg -1.0669 -6.0897 0.8192
Ge -0.5335 -3.0448 0.4096
Hg -1.6004 -9.1345 1.2287
Pm 0.0000 0.0000 0.0000
CELL_PARAMETERS angstrom
-0.8827 -4.4215 -2.3664
1.8785 -4.3299 1.9110
-3.1297 -3.4279 2.0937



What did the third record say?
! PBE-GGA PmMgHgGe, relaxed; values from VASP
! - symmetry = F-43m, No. 216
! - VASP energy (eV for the cell shown) = -12.86
! - calculated formation energy (eV per atom) = -0.40
! - mass density (g/cm3) = 7.871
&SYSTEM
  ibrav = 0, nat = 4, ntyp = 4
/
ATOMIC_SPECIES
Mg 24.30 Mg.upf
Ge 72.64 Ge.upf
Hg 200.59 Hg.upf
Pm 145.00 Pm.upf
ATOMIC_POSITIONS angstrom
Mg -1.0669 -6.0897 0.8192
Ge -0.5335 -3.0448 0.4096
Hg -1.6004 -9.1345 1.2287
Pm 0.0000 0.0000 0.0000
CELL_PARAMETERS angstrom
-0.8827 -4.4215 -2.3664
1.8785 -4.3299 1.9110
-3.1297 -3.4279 2.0937



Q: The lowest VASP energy belongs to which entry?
A: MgNpHgGe



Please write out number 2 again, unchanged.
! PBE-GGA MgPaHgGe, relaxed; values from VASP
! - symmetry = F-43m, No. 216
! - VASP energy (eV for the cell shown) = -16.53
! - calculated formation energy (eV per atom) = -0.13
! - mass density (g/cm3) = 9.850
&SYSTEM
  ibrav = 0, nat = 4, ntyp = 4
/
ATOMIC_SPECIES
Mg 24.30 Mg.upf
Ge 72.64 Ge.upf
Pa 231.04 Pa.upf
Hg 200.59 Hg.upf
ATOMIC_POSITIONS angstrom
Mg 0.0000 0.0000 0.0000
Ge 2.5068 1.4473 1.0234
Pa 5.0136 2.8946 2.0468
Hg 7.5204 4.3419 3.0702
CELL_PARAMETERS angstrom
5.0136 0.0000 0.0000
2.5068 4.3419 0.0000
2.5068 1.4473 4.0936